PuInPt4 | PBE | optimized geometry

Results
V (Å³/atom): 18.7
Calculated formation energy (eV per atom): -0.66

Structure (extended XYZ):
```
6
Lattice="-1.582 -3.907 -3.402 3.489 -3.863 -1.497 -0.633 -5.068 1.803" Properties=species:S:1:pos:R:3 pbc="T T T"
In 0.000 0.000 0.000
Pt 1.114 -5.487 -2.840
Pt -0.953 -6.091 -1.185
Pt 0.796 -8.028 -1.936
Pt 1.589 -6.069 -0.231
Pu 0.318 -3.210 -0.774
```


Pm3HgPb3 | PBE | optimized geometry

Results
V (Å³/atom): 29.7
Calculated formation energy (eV per atom): -0.31

Structure (extended XYZ):
```
14
Lattice="5.907 0.000 0.000 0.000 9.019 0.000 0.000 -4.509 7.810" Properties=species:S:1:pos:R:3 pbc="T T T"
Pm 4.431 3.253 4.303
Pm 4.431 3.666 0.666
Pm 4.431 6.609 2.842
Pm 1.477 1.257 3.508
Pm 1.477 0.843 7.145
Pm 1.477 -2.100 4.968
Hg 1.477 4.509 2.603
Hg 4.431 0.000 5.207
Pb 1.477 3.847 5.821
Pb 1.477 2.054 0.422
Pb 1.477 7.627 1.568
Pb 4.431 0.662 1.989
Pb 4.431 2.456 7.389
Pb 4.431 -3.117 6.242
```


NaPrCdF6 | PBE | optimized geometry

Results
ΔE_f (raw) (eV per atom): -3.064
V (Å³/atom): 16.7

Structure (extended XYZ):
```
18
Lattice="-3.494 4.337 2.565 -2.575 -4.377 -3.436 -1.045 -5.287 7.518" Properties=species:S:1:pos:R:3 pbc="T T T"
Na 0.000 0.000 0.000
Na -0.522 -2.643 3.759
Pr -3.143 -2.794 0.444
Pr -3.971 -2.532 6.203
Cd -3.449 0.111 2.444
Cd -3.665 -5.437 4.203
F -4.117 -0.677 0.419
F -4.481 2.134 2.345
F -4.405 -6.193 2.191
F -2.632 -7.460 4.302
F -2.481 -1.945 2.511
F -5.536 -0.510 3.096
F -5.746 -6.123 4.810
F -2.709 0.867 4.456
F -1.577 -4.817 3.551
F -1.368 0.796 1.837
F -4.633 -3.381 4.136
F -2.996 -4.650 6.228
```


Hf12Ga6Os | PBE | optimized geometry

Results
V (Å³/atom): 22.2
Calculated formation energy (eV per atom): 0.04

Structure (extended XYZ):
```
19
Lattice="7.597 0.010 0.012 -1.142 7.510 0.012 -1.142 -1.330 7.392" Properties=species:S:1:pos:R:3 pbc="T T T"
Hf 4.930 3.726 3.408
Hf 1.908 5.280 4.275
Hf 2.936 2.381 5.959
Hf 0.383 2.464 4.008
Hf 3.404 0.909 3.140
Hf 2.377 3.809 1.456
Hf 0.239 -0.358 2.479
Hf 5.703 3.784 6.793
Hf 2.875 5.574 7.325
Hf 5.073 6.548 4.937
Hf -0.390 2.406 0.622
Hf 2.437 0.616 0.091
Ga 3.854 6.118 2.521
Ga 4.526 2.170 0.945
Ga -0.150 4.556 2.304
Ga 1.458 0.071 4.894
Ga 0.787 4.020 6.470
Ga 5.463 1.634 5.112
Os 0.000 0.000 0.000
```


ZnSn2P2Pd7 | PBE | optimized geometry

Results
V (Å³/atom): 17.0
Calculated formation energy (eV per atom): -0.35

Structure (extended XYZ):
```
12
Lattice="4.060 0.020 -0.055 0.025 4.060 -0.055 1.780 1.778 12.358" Properties=species:S:1:pos:R:3 pbc="T T T"
Zn 0.000 0.000 0.000
Sn 4.200 4.195 4.158
Sn 1.665 1.663 8.090
P 3.773 3.768 9.104
P 2.092 2.090 3.145
Pd 2.042 2.040 -0.055
Pd 1.990 1.987 5.482
Pd 3.875 3.871 6.766
Pd 4.102 2.077 1.880
Pd 2.082 4.099 1.880
Pd 3.783 1.759 10.368
Pd 1.763 3.781 10.368
```


MnTlZn2 | PBE | optimized geometry

Results
V (Å³/atom): 19.9
Energy above the lowest structure with this stoichiometry (meV per atom): 214
Calculated formation energy (eV per atom): 0.42

Structure (extended XYZ):
```
8
Lattice="7.557 0.000 0.000 0.000 7.557 0.000 3.779 3.779 2.784" Properties=species:S:1:pos:R:3 pbc="T T T"
Tl 0.000 0.000 0.000
Tl 7.557 3.779 1.392
Mn 3.779 3.779 0.000
Mn 3.779 7.557 1.392
Zn 5.471 1.889 0.696
Zn 2.086 5.668 0.696
Zn 5.668 5.865 2.088
Zn 9.447 9.250 2.088
```


K2ScAu | PBE | optimized geometry

Results
V (Å³/atom): 38.2
Energy above the lowest structure with this stoichiometry (meV per atom): 226
Calculated formation energy (eV per atom): 0.10

Structure (extended XYZ):
```
4
Lattice="7.507 0.014 0.012 3.899 6.416 -0.012 -4.798 -4.820 3.179" Properties=species:S:1:pos:R:3 pbc="T T T"
Au 2.717 2.583 1.584
K 0.620 0.350 0.000
K 4.117 -0.846 1.595
Sc 4.856 2.738 0.000
```


Tm2NpCuS5 | PBE | optimized geometry

Results
ΔE_f (raw) (eV per atom): -1.463
V (Å³/atom): 20.4

Structure (extended XYZ):
```
18
Lattice="3.750 0.000 0.000 -1.875 8.913 0.000 0.000 0.000 10.979" Properties=species:S:1:pos:R:3 pbc="T T T"
Tm 1.875 6.888 8.871
Tm 0.000 1.610 7.509
Tm 0.000 2.026 3.381
Tm 1.875 7.303 2.020
Np 1.875 5.356 5.571
Np 0.000 3.557 0.082
Cu 1.875 1.129 10.452
Cu 0.000 7.784 4.963
S 0.000 6.434 0.062
S 1.875 3.035 9.134
S 0.000 8.811 8.571
S 0.000 5.353 7.575
S 1.875 8.021 6.196
S 1.875 2.479 5.552
S 0.000 5.879 3.644
S 1.875 0.102 3.081
S 1.875 3.561 2.086
S 0.000 0.893 0.706
```


NaHoC | PBE | optimized geometry

Results
V (Å³/atom): 29.3
Calculated formation energy (eV per atom): 0.37

Structure (extended XYZ):
```
6
Lattice="-2.982 2.619 -0.139 0.309 -2.807 -2.792 -7.268 -7.896 7.135" Properties=species:S:1:pos:R:3 pbc="T T T"
Ho -6.270 -3.953 3.281
Ho -3.671 -4.130 0.922
C -4.953 -2.523 1.988
C -4.988 -5.561 2.215
Na -8.325 -6.185 5.298
Na -1.617 -1.899 -1.094
```


DyTmPa2As4 | PBE | optimized geometry

Results
V (Å³/atom): 24.1
Calculated formation energy (eV per atom): -1.27

Structure (extended XYZ):
```
8
Lattice="4.090 0.000 0.000 0.000 7.069 -0.135 0.000 2.492 6.630" Properties=species:S:1:pos:R:3 pbc="T T T"
Dy 0.000 4.781 3.247
Tm 2.045 6.027 6.562
Pa 0.000 2.492 6.630
Pa 2.045 1.246 3.315
As 0.000 7.168 4.885
As 4.090 2.393 1.609
As 2.045 5.922 1.544
As 2.045 3.640 4.950
```


Nd6Y8Er | PBE | optimized geometry

Results
V (Å³/atom): 33.9
Calculated formation energy (eV per atom): 0.12

Structure (extended XYZ):
```
15
Lattice="9.153 0.000 0.000 4.577 7.927 0.000 4.577 2.642 7.011" Properties=species:S:1:pos:R:3 pbc="T T T"
Nd 12.309 9.413 6.096
Nd 2.579 2.154 0.915
Nd 5.152 4.616 0.915
Nd 13.154 5.953 6.096
Nd 15.727 8.415 6.096
Nd 5.998 1.157 0.915
Y 6.228 3.777 4.061
Y 8.996 1.998 2.950
Y 6.385 7.064 2.950
Y 9.153 5.285 1.879
Y 9.153 5.285 5.132
Y 11.921 3.505 4.061
Y 9.311 8.572 4.061
Y 12.079 6.792 2.950
Er 0.000 0.000 0.000
```


LiNd2USe5 | PBE | optimized geometry

Results
ΔE_f (raw) (eV per atom): -1.518
V (Å³/atom): 24.9

Structure (extended XYZ):
```
18
Lattice="-2.515 -3.281 0.162 7.704 -3.140 3.184 -3.471 3.233 11.587" Properties=species:S:1:pos:R:3 pbc="T T T"
Li -4.391 1.326 11.502
Li 4.550 -3.060 8.639
Nd 0.789 -2.631 11.771
Nd -0.985 1.183 8.666
Nd 0.594 -0.244 4.282
Nd 3.143 -4.780 4.802
U 0.857 -2.875 7.893
U 2.561 -1.896 1.366
Se 1.247 -0.265 13.967
Se -1.738 -0.726 11.121
Se 3.726 -2.248 12.303
Se 1.392 -0.594 9.562
Se 2.586 -4.114 9.632
Se -1.258 -1.310 6.744
Se 2.794 -1.843 6.026
Se -2.219 -0.742 3.338
Se 0.926 -3.151 3.372
Se 0.383 -0.238 1.126
```


Question: Which value of V does entry 1 give?
Answer: 18.7 Å³/atom


Question: Look up the V of the ninth one.
Answer: 29.3 Å³/atom